1.
# Nd3MgNi3 | Alexandria via LeMat-Bulk | PBE-GGA | optimized geometry
# - Total moment: 0.00 μB per cell
# - D(E_F): 5.3 states/eV/f.u.
# - Crystal system: monoclinic
# - Relative energy among the computed polymorphs: 0.78 eV per formula unit
# - Calculated formation energy: -1.2 eV per formula unit
data_Nd3MgNi3
_chemical_formula_sum 'Nd12 Mg4 Ni12'
_symmetry_space_group_name_H-M 'C 1 2/m 1'
_symmetry_Int_Tables_number 12
_cell_length_a 8.7750
_cell_length_b 10.3309
_cell_length_c 6.9013
_cell_angle_alpha 90.00
_cell_angle_beta 90.65
_cell_angle_gamma 90.00
loop_
_symmetry_equiv_pos_as_xyz
'x,y,z'
'-x,-y,-z'
'-x,y,-z'
'x,-y,z'
'x+1/2,y+1/2,z'
'-x+1/2,-y+1/2,-z'
'-x+1/2,y+1/2,-z'
'x+1/2,-y+1/2,z'
loop_
_atom_site_label
_atom_site_fract_x
_atom_site_fract_y
_atom_site_fract_z
_atom_site_occupancy
Nd1 0.0000 0.1679 0.0000 1
Nd2 0.0000 0.2501 0.5000 1
Nd3 0.1529 0.5000 0.8580 1
Mg1 0.2502 0.0000 0.6444 1
Ni1 0.0658 0.0000 0.3296 1
Ni2 0.2335 0.2705 0.1976 1

2.
# Sn2GeSe | Alexandria via LeMat-Bulk | PBE-GGA | optimized geometry
# - Total moment: 0.00 μB per cell
# - D(E_F): 1.8 states/eV/f.u.
# - Crystal system: trigonal
# - Raw formation energy: -0.0253 eV/atom
# - Relative energy among the computed polymorphs: 0.00 eV per formula unit
data_Sn2GeSe
_chemical_formula_sum 'Sn6 Ge3 Se3'
_symmetry_space_group_name_H-M 'R 3 m'
_symmetry_Int_Tables_number 160
_symmetry_space_group_name_Hall 'R 3 -2"'
_cell_length_a 4.0160
_cell_length_b 4.0160
_cell_length_c 22.2069
_cell_angle_alpha 90.00
_cell_angle_beta 90.00
_cell_angle_gamma 120.00
loop_
_atom_site_label
_atom_site_fract_x
_atom_site_fract_y
_atom_site_fract_z
_atom_site_occupancy
Sn1 0.0000 0.0000 0.0000 1
Sn2 0.0000 0.0000 0.1810 1
Ge1 0.0000 0.0000 0.5965 1
Se1 0.0000 0.0000 0.7688 1

3.
# ScSeBr | Alexandria via LeMat-Bulk | PBE-GGA | optimized geometry
# - Total moment: 0.00 μB per cell
# - D(E_F): 0.4 states/eV/f.u.
# - Crystal system: tetragonal
# - Raw formation energy: -1.3325 eV/atom
data_ScSeBr
_chemical_formula_sum 'Sc2 Se2 Br2'
_symmetry_space_group_name_H-M 'I 4 m m'
_symmetry_Int_Tables_number 107
_symmetry_space_group_name_Hall 'I 4 -2'
_cell_length_a 3.4148
_cell_length_b 3.4148
_cell_length_c 13.7370
_cell_angle_alpha 90.00
_cell_angle_beta 90.00
_cell_angle_gamma 90.00
loop_
_atom_site_label
_atom_site_fract_x
_atom_site_fract_y
_atom_site_fract_z
_atom_site_occupancy
Sc1 0.0000 0.0000 0.0000 1
Se1 0.0000 0.0000 0.5988 1
Br1 0.0000 0.0000 0.3625 1

4.
# MgBeHg2 | Alexandria via LeMat-Bulk | PBE-GGA | optimized geometry
# - Total moment: 0.00 μB per cell
# - D(E_F): 2.4 states/eV/f.u.
# - Crystal system: cubic
# - Relative energy among the computed polymorphs: 0.86 eV per formula unit
# - Calculated formation energy: 1.5 eV per formula unit
data_MgBeHg2
_chemical_formula_sum 'Mg4 Be4 Hg8'
_symmetry_space_group_name_H-M 'F -4 3 m'
_symmetry_Int_Tables_number 216
_symmetry_space_group_name_Hall 'F -4 2 3'
_cell_length_a 6.7537
_cell_length_b 6.7537
_cell_length_c 6.7537
_cell_angle_alpha 90.00
_cell_angle_beta 90.00
_cell_angle_gamma 90.00
loop_
_atom_site_label
_atom_site_fract_x
_atom_site_fract_y
_atom_site_fract_z
_atom_site_occupancy
Mg1 0.0000 0.0000 0.0000 1
Be1 0.2500 0.2500 0.7500 1
Hg1 0.0000 0.0000 0.5000 1
Hg2 0.2500 0.2500 0.2500 1

5.
# SbAsAu2 | Alexandria via LeMat-Bulk | PBE-GGA | optimized geometry
# - Total moment: 0.00 μB per cell
# - D(E_F): 1.3 states/eV/f.u.
# - Crystal system: monoclinic
# - Raw formation energy: 0.0476 eV/atom
# - Relative energy among the computed polymorphs: 0.05 eV per formula unit
data_SbAsAu2
_chemical_formula_sum 'Sb2 As2 Au4'
_symmetry_space_group_name_H-M 'C 1 2 1'
_symmetry_Int_Tables_number 5
_cell_length_a 5.5513
_cell_length_b 7.9771
_cell_length_c 3.9877
_cell_angle_alpha 90.00
_cell_angle_beta 91.18
_cell_angle_gamma 90.00
loop_
_symmetry_equiv_pos_as_xyz
'x,y,z'
'-x,y,-z'
'x+1/2,y+1/2,z'
'-x+1/2,y+1/2,-z'
loop_
_atom_site_label
_atom_site_fract_x
_atom_site_fract_y
_atom_site_fract_z
_atom_site_occupancy
Sb1 0.0000 0.0000 0.0000 1
As1 0.0000 0.2561 0.5000 1
Au1 0.0000 0.4907 0.0000 1
Au2 0.0000 0.7435 0.5000 1

6.
# TlV2BiS | Alexandria via LeMat-Bulk | PBE-GGA | optimized geometry
# - Total moment: 7.04 μB per cell
# - D(E_F): 10.1 states/eV/f.u.
# - Crystal system: tetragonal
# - Raw formation energy: 1.1144 eV/atom
data_TlV2BiS
_chemical_formula_sum 'Tl1 V2 Bi1 S1'
_symmetry_space_group_name_H-M 'P 4/m m m'
_symmetry_Int_Tables_number 123
_symmetry_space_group_name_Hall '-P 4 2'
_cell_length_a 5.3017
_cell_length_b 5.3017
_cell_length_c 5.5363
_cell_angle_alpha 90.00
_cell_angle_beta 90.00
_cell_angle_gamma 90.00
loop_
_atom_site_label
_atom_site_fract_x
_atom_site_fract_y
_atom_site_fract_z
_atom_site_occupancy
Tl1 0.0000 0.0000 0.0000 1
V1 0.0000 0.5000 0.5000 1
Bi1 0.5000 0.5000 0.5000 1
S1 0.5000 0.5000 0.0000 1